(1)
Here is TmThTe4 after structural relaxation from Alexandria. Energies are from GGA-PBE.

Cell lengths 7.5758, 7.4957, 7.6142 Å; angles 90.00, 92.68, 90.00 degrees
Positions (direct):
Te  0.6407  0.1426  0.8484
Th  0.5000  0.5000  0.0000
Te  0.1401  0.8646  0.6323
Te  0.1407  0.3574  0.8484
Tm  0.5000  0.0000  0.5000
Te  0.6401  0.6354  0.6323
Te  0.3599  0.3646  0.3677
Th  0.0000  0.0000  0.0000
Te  0.8593  0.6426  0.1516
Te  0.3593  0.8574  0.1516
Te  0.8599  0.1354  0.3677
Tm  0.0000  0.5000  0.5000

Volume, Å³ per cell: 431.91
Formation energy (no corrections), eV per atom: -0.94


(2)
Here is Tm3ThTe after structural relaxation from Alexandria. Energies are from GGA-PBE.

Cell lengths 5.6232, 6.3437, 10.4959 Å; angles 74.20, 74.46, 63.69 degrees
Positions (direct):
Tm  0.8583  0.0435  0.2398
Tm  0.1181  0.4196  0.3442
Tm  0.4211  0.2852  0.8725
Tm  0.1417  0.9565  0.7602
Te  0.8590  0.3323  0.9496
Th  0.3728  0.8008  0.4536
Te  0.1410  0.6677  0.0504
Th  0.6272  0.1992  0.5464
Tm  0.8819  0.5804  0.6558
Tm  0.5789  0.7148  0.1275

Volume, Å³ per cell: 318.21
Formation energy (no corrections), eV per atom: -0.28